Entry 1:
Computed, not measured: a relaxed CaTaAlCu2 crystal at the GGA-PBE level of DFT.

a b c (Å): 4.8358 5.0808 4.8358
angles (deg): 90.00 90.00 90.00
Sites, in units of the cell vectors:
Al: 0.0000 0.5000 0.0000
Cu: 0.0000 0.0000 0.5000
Cu: 0.5000 0.0000 0.0000
Ca: 0.5000 0.5000 0.5000
Ta: 0.0000 0.0000 0.0000

formation enthalpy at 0 K = 687.0 meV per atom
E_tot = -4.47 eV/atom
SG = P4/mmm (123)
N(E_F) = 1.10 states/eV/atom

---

Entry 2:
Computed, not measured: a relaxed AlCoNi2 crystal at the GGA-PBE level of DFT.

a b c (Å): 4.2623 4.2623 2.6264
angles (deg): 90.03 90.03 106.08
Sites, in units of the cell vectors:
Co: 0.0000 0.5000 0.5000
Ni: 0.5000 0.5000 0.0000
Ni: 0.0000 0.0000 0.0000
Al: 0.5000 0.0000 0.5000

formation enthalpy at 0 K = -283.7 meV per atom
E_tot = -5.89 eV/atom
SG = Cmmm (65)
N(E_F) = 1.23 states/eV/atom

---

Entry 3:
Computed, not measured: a relaxed Na5NpO4 crystal at the GGA-PBE level of DFT.

a b c (Å): 3.4912 6.9305 7.4332
angles (deg): 100.21 103.58 90.00
Sites, in units of the cell vectors:
Na: 0.8361 0.6926 0.6722
Na: 0.1754 0.8521 0.3507
Na: 0.8246 0.1479 0.6493
Na: 0.5000 0.5000 0.0000
Na: 0.1639 0.3074 0.3278
O: 0.6468 0.0637 0.2935
O: 0.9967 0.2160 0.9934
O: 0.0033 0.7840 0.0066
O: 0.3532 0.9363 0.7065
Np: 0.5000 0.0000 0.0000

E_form (uncorrected) = -1.758 eV per atom
E_tot = -5.69 eV/atom
SG = C2/m (12)
N(E_F) = 0.48 states/eV/atom

---

Entry 4:
Computed, not measured: a relaxed Hf3Zn3N crystal at the GGA-PBE level of DFT.

a b c (Å): 8.5094 8.5094 8.5094
angles (deg): 60.00 60.00 60.00
Sites, in units of the cell vectors:
Hf: 0.1854 0.8146 0.1854
Hf: 0.8146 0.1854 0.8146
Hf: 0.4354 0.4354 0.0646
Hf: 0.0646 0.4354 0.0646
Hf: 0.1854 0.8146 0.8146
Hf: 0.8146 0.1854 0.1854
Hf: 0.8146 0.8146 0.1854
Hf: 0.4354 0.0646 0.4354
Hf: 0.0646 0.4354 0.4354
Hf: 0.0646 0.0646 0.4354
Hf: 0.4354 0.0646 0.0646
Hf: 0.1854 0.1854 0.8146
N: 0.1250 0.6250 0.1250
N: 0.1250 0.1250 0.1250
N: 0.6250 0.1250 0.1250
N: 0.1250 0.1250 0.6250
Zn: 0.8323 0.8323 0.5031
Zn: 0.8323 0.5031 0.8323
Zn: 0.4177 0.4177 0.4177
Zn: 0.5031 0.8323 0.8323
Zn: 0.6250 0.1250 0.6250
Zn: 0.6250 0.6250 0.6250
Zn: 0.4177 0.7469 0.4177
Zn: 0.8323 0.8323 0.8323
Zn: 0.4177 0.4177 0.7469
Zn: 0.6250 0.6250 0.1250
Zn: 0.1250 0.6250 0.6250
Zn: 0.7469 0.4177 0.4177

E_form (uncorrected) = -0.718 eV per atom
E_tot = -6.72 eV/atom
SG = Fd-3m (227)
N(E_F) = 0.91 states/eV/atom

---

Entry 5:
Computed, not measured: a relaxed PmHo2 crystal at the GGA-PBE level of DFT.

a b c (Å): 3.5659 3.5659 7.9754
angles (deg): 102.92 102.92 90.00
Sites, in units of the cell vectors:
Ho: 0.6682 0.6682 0.3365
Ho: 0.3318 0.3318 0.6635
Pm: 0.0000 0.0000 0.0000

formation enthalpy at 0 K = 21.2 meV per atom
E_tot = -4.61 eV/atom
SG = I4/mmm (139)
polymorph energy (0 for the lowest one) = 26.8 meV per atom
N(E_F) = 1.35 states/eV/atom

---

Entry 6:
Computed, not measured: a relaxed In2AgTe3I crystal at the GGA-PBE level of DFT.

a b c (Å): 7.8189 7.8189 8.0532
angles (deg): 81.25 81.25 33.63
Sites, in units of the cell vectors:
I: 0.5060 0.5060 0.5084
Ag: 0.3090 0.3090 0.5400
In: 0.5649 0.5649 0.8208
In: 0.8103 0.8103 0.0581
Te: 0.2376 0.2376 0.2439
Te: 0.0048 0.0048 0.0300
Te: 0.7549 0.7549 0.7362

E_form (uncorrected) = -0.326 eV per atom
E_tot = -3.08 eV/atom
SG = Cm (8)
N(E_F) = 0.01 states/eV/atom

---

Entry 7:
Computed, not measured: a relaxed CeDy2Ga6 crystal at the GGA-PBE level of DFT.

a b c (Å): 4.1247 7.3376 7.3376
angles (deg): 120.00 90.00 90.00
Sites, in units of the cell vectors:
Dy: 0.0000 0.6667 0.3333
Dy: 0.0000 0.3333 0.6667
Ga: 0.5000 0.0000 0.3340
Ga: 0.5000 0.0000 0.6660
Ga: 0.5000 0.3340 0.3340
Ga: 0.5000 0.6660 0.6660
Ga: 0.5000 0.3340 0.0000
Ga: 0.5000 0.6660 0.0000
Ce: 0.0000 0.0000 0.0000

formation enthalpy at 0 K = -619.8 meV per atom
E_tot = -4.32 eV/atom
SG = P6/mmm (191)
polymorph energy (0 for the lowest one) = 0.0 meV per atom
N(E_F) = 1.08 states/eV/atom

---

Entry 8:
Computed, not measured: a relaxed Sr8LiRhAu2 crystal at the GGA-PBE level of DFT.

a b c (Å): 7.5370 7.3101 9.1716
angles (deg): 89.98 89.99 88.76
Sites, in units of the cell vectors:
Rh: 0.0000 0.0000 0.0000
Au: 0.5000 0.5000 0.2382
Au: 0.5000 0.5000 0.7618
Sr: 0.6818 0.7590 0.9999
Sr: 0.8356 0.2415 0.2236
Sr: 0.3562 0.2694 0.5001
Sr: 0.3182 0.2410 0.0001
Sr: 0.1642 0.7584 0.2237
Sr: 0.8358 0.2416 0.7763
Sr: 0.6438 0.7306 0.4999
Sr: 0.1644 0.7585 0.7764
Li: 0.0000 0.0000 0.5000

formation enthalpy at 0 K = -303.5 meV per atom
E_tot = -2.74 eV/atom
SG = P2/m (10)
N(E_F) = 0.71 states/eV/atom

---

What did the sixth record say?
Computed, not measured: a relaxed In2AgTe3I crystal at the GGA-PBE level of DFT.

a b c (Å): 7.8189 7.8189 8.0532
angles (deg): 81.25 81.25 33.63
Sites, in units of the cell vectors:
I: 0.5060 0.5060 0.5084
Ag: 0.3090 0.3090 0.5400
In: 0.5649 0.5649 0.8208
In: 0.8103 0.8103 0.0581
Te: 0.2376 0.2376 0.2439
Te: 0.0048 0.0048 0.0300
Te: 0.7549 0.7549 0.7362

E_form (uncorrected) = -0.326 eV per atom
E_tot = -3.08 eV/atom
SG = Cm (8)
N(E_F) = 0.01 states/eV/atom